DFT (PBE-GGA) results for a relaxed structure of Rb4Pr3InO8.

The space group is R-3m (No. 166, hexagonal axes) and the conventional cell measures 7.2620, 7.2620 and 19.8205 Å, with angles of 90.00, 90.00 and 120.00 degrees. The distinct sites, in fractional coordinates, are Rb at (0.0000, 0.0000, 0.0000), Rb at (0.0000, 0.5000, 0.0000), Pr at (0.0000, 0.5000, 0.5000), In at (0.0000, 0.0000, 0.5000), O at (0.0000, 0.0000, 0.2272) and O at (0.0121, 0.5060, 0.2274).

Its total energy is -6.01 eV per atom. The formation energy without anion corrections is -2.22 eV/atom. The total moment comes out at 0.00 μB per cell.

=====

DFT (PBE-GGA) results for a relaxed structure of K2HfCrBr.

The space group is P4/mmm (No. 123) and the conventional cell measures 6.068, 6.068 and 5.284 Å, with angles of 90.00, 90.00 and 90.00 degrees. The distinct sites, in fractional coordinates, are K at (0.000, 0.500, 0.000), Hf at (0.000, 0.000, 0.500), Cr at (0.500, 0.500, 0.500) and Br at (0.000, 0.000, 0.000).

Its total energy is -3.88 eV per atom. The formation energy without anion corrections is 0.81 eV/atom. The total moment comes out at 7.36 μB per cell.

=====

DFT (PBE-GGA) results for a relaxed structure of CoOs2Ru.

The space group is Cmm2 (No. 35) and the conventional cell measures 2.746, 4.553 and 8.960 Å, with angles of 90.00, 90.00 and 90.00 degrees. The distinct sites, in fractional coordinates, are Co at (0.000, 0.000, 0.000), Os at (0.000, 0.000, 0.498), Os at (0.000, 0.500, 0.759) and Ru at (0.000, 0.500, 0.240).

Its total energy is -9.15 eV per atom. The total moment comes out at 6.11 μB per cell. The calculation puts the formation energy from the elements at 0.556 eV per atom. The energy relative to the lowest polymorph listed for this composition comes out at 0.415 eV per atom.

=====

DFT (PBE-GGA) results for a relaxed structure of Li4Tm3NpS8.

The space group is R-3m (No. 166, hexagonal axes) and the conventional cell measures 7.7675, 7.7675 and 18.5075 Å, with angles of 90.00, 90.00 and 120.00 degrees. The distinct sites, in fractional coordinates, are Li at (0.0000, 0.0000, 0.0000), Li at (0.0000, 0.5000, 0.0000), Tm at (0.0000, 0.5000, 0.5000), Np at (0.0000, 0.0000, 0.5000), S at (0.0000, 0.0000, 0.2492) and S at (0.0054, 0.5027, 0.7501).

Its total energy is -5.91 eV per atom. The formation energy without anion corrections is -1.72 eV/atom. The total moment comes out at 12.01 μB per cell.

=====

DFT (PBE-GGA) results for a relaxed structure of Na3GaAu2.

The space group is Ibam (No. 72) and the conventional cell measures 6.318, 14.911 and 6.252 Å, with angles of 90.00, 90.00 and 90.00 degrees. The distinct sites, in fractional coordinates, are Na at (0.000, 0.000, 0.250), Na at (0.231, 0.182, 0.000), Ga at (0.000, 0.500, 0.250) and Au at (0.205, 0.387, 0.000).

Its total energy is -2.53 eV per atom. The total moment comes out at 0.00 μB per cell. The calculation puts the formation energy from the elements at -0.271 eV per atom. The energy relative to the lowest polymorph listed for this composition comes out at 0.021 eV per atom.

=====

DFT (PBE-GGA) results for a relaxed structure of TmThTlPt.

The space group is F-43m (No. 216) and the conventional cell measures 7.388, 7.388 and 7.388 Å, with angles of 90.00, 90.00 and 90.00 degrees. The distinct sites, in fractional coordinates, are Tm at (0.000, 0.000, 0.000), Th at (0.000, 0.000, 0.500), Tl at (0.250, 0.250, 0.750) and Pt at (0.250, 0.250, 0.250).

Its total energy is -5.62 eV per atom. The total moment comes out at 0.00 μB per cell. The calculation puts the formation energy from the elements at -0.548 eV per atom.

=====

DFT (PBE-GGA) results for a relaxed structure of CrCuCl.

The space group is F-43m (No. 216) and the conventional cell measures 6.104, 6.104 and 6.104 Å, with angles of 90.00, 90.00 and 90.00 degrees. The distinct sites, in fractional coordinates, are Cr at (0.000, 0.000, 0.000), Cu at (0.250, 0.250, 0.250) and Cl at (0.250, 0.250, 0.750).

Its total energy is -4.72 eV per atom. The formation energy without anion corrections is 0.47 eV/atom. The total moment comes out at 16.09 μB per cell. The energy relative to the lowest polymorph listed for this composition comes out at 0.316 eV per atom.

=====

DFT (PBE-GGA) results for a relaxed structure of GdPuFe4.

The space group is F-43m (No. 216) and the conventional cell measures 7.227, 7.227 and 7.227 Å, with angles of 90.00, 90.00 and 90.00 degrees. The distinct sites, in fractional coordinates, are Gd at (0.000, 0.000, 0.000), Pu at (0.250, 0.250, 0.750) and Fe at (0.125, 0.125, 0.375).

Its total energy is -10.42 eV per atom. The total moment comes out at 38.36 μB per cell. The calculation puts the formation energy from the elements at -0.043 eV per atom.